Record 1
{"formula": "AgTe2Rh", "functional": "PBE", "state": "optimized geometry", "total_magnetization_mub_per_cell": 0.0, "dos_ef_per_ev_atom": 0.795, "mass_density_g_cm3": 8.30, "raw_formation_energy_ev_per_atom": 0.352, "lattice": [[1.5507, 0.8953, 11.1905], [-1.5507, 0.8953, 11.1905], [0.0000, -1.7906, 11.1905]], "species": ["Ag", "Te", "Te", "Rh"], "fractional_positions": [[0.0000, 0.0000, 0.0000], [0.4236, 0.4236, 0.4236], [0.5764, 0.5764, 0.5764], [0.5000, 0.5000, 0.5000]]}

Record 2
{"formula": "LaSc2Cd", "functional": "PBE", "state": "optimized geometry", "formation_energy_mev_per_atom": -41.8, "total_magnetization_mub_per_cell": 0.1, "dos_ef_per_ev_atom": 1.654, "mass_density_g_cm3": 5.34, "lattice": [[5.2375, 0.0000, 0.0000], [0.0000, 3.6620, 0.0000], [-0.1068, 0.0000, 5.5339]], "species": ["La", "Sc", "Sc", "Cd"], "fractional_positions": [[0.0000, 0.0000, 0.0000], [0.5000, 0.0000, 0.5000], [0.5000, 0.5000, 0.0000], [0.0000, 0.5000, 0.5000]]}

Record 3
{"formula": "BaFeSi2", "functional": "PBE", "state": "optimized geometry", "total_magnetization_mub_per_cell": 2.8, "dos_ef_per_ev_atom": 0.944, "mass_density_g_cm3": 4.85, "raw_formation_energy_ev_per_atom": 0.751, "lattice": [[2.9485, -4.8622, 0.0000], [2.9485, 4.8622, 0.0000], [0.0000, 0.0000, 2.9745]], "species": ["Ba", "Fe", "Si", "Si"], "fractional_positions": [[0.0000, 0.0000, 0.0000], [0.5000, 0.5000, 0.0000], [0.0000, 0.5000, 0.5000], [0.5000, 0.0000, 0.5000]]}

Record 4
{"formula": "KNbHgN2", "functional": "PBE", "state": "optimized geometry", "total_magnetization_mub_per_cell": 0.0, "dos_ef_per_ev_atom": 0.525, "mass_density_g_cm3": 6.07, "raw_formation_energy_ev_per_atom": 0.252, "lattice": [[4.2070, 0.0000, 0.0000], [0.0000, 4.2070, 0.0000], [0.0000, 0.0000, 5.5777]], "species": ["K", "Nb", "Hg", "N", "N"], "fractional_positions": [[0.0000, 0.0000, 0.0000], [0.5000, 0.5000, 0.5000], [0.5000, 0.5000, 0.0000], [0.0000, 0.5000, 0.5000], [0.5000, 0.0000, 0.5000]]}